A geometry-optimized SmTlCoO3 structure, computed with PBE+U.

## Properties
Its crystal system is orthorhombic. As for the total DFT energy (no corrections): -37.51 eV per formula unit.

a = 3.607 Å, b = 11.616 Å, c = 9.380 Å
α = 90.00°, β = 90.00°, γ = 90.00°
Space group Cmcm (No. 63)
Asymmetric unit:
1 Sm 0.000 0.000 0.000 (multiplicity 4)
2 Tl 0.000 0.290 0.250 (multiplicity 4)
3 Co 0.000 0.424 0.750 (multiplicity 4)
4 O 0.000 0.023 0.750 (multiplicity 4)
5 O 0.000 0.380 0.554 (multiplicity 8)